(1)
Crystalline NaP3I at its relaxed geometry. Source: the Alexandria database, functional GGA-PBE.

The mass density is 3.3 Mg/m³. The total magnetic moment comes out at 0.000 μB/atom. The calculation puts the energy relative to the elements, uncorrected at 1.52 eV per atom. The calculated total energy is -2.30 eV per atom. The calculation puts the relative energy among the computed polymorphs at 34.4 kJ per mole of atoms. The calculation puts the density of states at the Fermi level at 6.1 states/eV per cell.

It has space group Pm-3m (No. 221), with a = 4.9859 Å, b = 4.9859 Å, c = 4.9859 Å, α = 90.00°, β = 90.00° and γ = 90.00°. The distinct sites, in fractional coordinates, are Na at (0.0000, 0.0000, 0.0000), P at (0.0000, 0.0000, 0.5000) and I at (0.5000, 0.5000, 0.5000).

---

(2)
Crystalline Na2P2I at its relaxed geometry. Source: the Alexandria database, functional GGA-PBE.

The mass density is 3.4 Mg/m³. The total magnetic moment comes out at 0.000 μB/atom. The calculation puts the energy relative to the elements, uncorrected at -0.41 eV per atom. The calculated total energy is -3.41 eV per atom. The calculation puts the relative energy among the computed polymorphs at 0.0 kJ per mole of atoms. The calculation puts the density of states at the Fermi level at 0.8 states/eV per cell.

It has space group I4/mmm (No. 139), with a = 3.6441 Å, b = 3.6441 Å, c = 17.5294 Å, α = 90.00°, β = 90.00° and γ = 90.00°. The distinct sites, in fractional coordinates, are Na at (0.0000, 0.0000, 0.1112), P at (0.0000, 0.5000, 0.2500) and I at (0.0000, 0.0000, 0.5000).

---

(3)
Crystalline Na2PI6 at its relaxed geometry. Source: the Alexandria database, functional GGA-PBE.

The mass density is 4.0 Mg/m³. The total magnetic moment comes out at 0.000 μB/atom. The calculation puts the energy relative to the elements, uncorrected at -0.48 eV per atom. The calculated total energy is -2.40 eV per atom. The calculation puts the density of states at the Fermi level at 9.2 states/eV per cell.

It has space group P2_1/c (No. 14), with a = 7.6962 Å, b = 8.3669 Å, c = 12.7140 Å, α = 90.00°, β = 122.58° and γ = 90.00°. The distinct sites, in fractional coordinates, are Na at (0.1501, 0.1849, 0.1731), P at (0.5000, 0.0000, 0.0000), I at (0.1167, 0.1510, 0.9011), I at (0.3278, 0.7034, 0.9894) and I at (0.4084, 0.5450, 0.2608).

---

(4)
Crystalline NaPI2 at its relaxed geometry. Source: the Alexandria database, functional GGA-PBE.

The mass density is 3.2 Mg/m³. The total magnetic moment comes out at 0.000 μB/atom. The calculation puts the energy relative to the elements, uncorrected at -0.05 eV per atom. The calculated total energy is -2.51 eV per atom. The calculation puts the relative energy among the computed polymorphs at 0.0 kJ per mole of atoms. The calculation puts the density of states at the Fermi level at 0.0 states/eV per cell.

It has space group I-42d (No. 122), with a = 6.1297 Å, b = 6.1297 Å, c = 16.9152 Å, α = 90.00°, β = 90.00° and γ = 90.00°. The distinct sites, in fractional coordinates, are Na at (0.0000, 0.0000, 0.0000), P at (0.0000, 0.0000, 0.5000) and I at (0.1851, 0.2500, 0.6250).